# 1
Material: BaCuSe2Br
Method: DFT, meta-GGA SCAN
State: PBEsol geometry

Structure (POSCAR):
```
BaCuSe2Br
1.0
4.799 0.000 0.000
0.000 4.799 0.000
0.000 0.000 5.345
Ba Cu Se Br
1 1 2 1
Direct
0.000 0.000 0.000
0.500 0.500 0.500
0.000 0.500 0.500
0.500 0.000 0.500
0.500 0.500 0.000
```

Properties
Uncorrected formation energy: -1.0484 eV per atom
Total magnetization: 0.000 Bohr magnetons per cell

---

# 2
Material: Li3HgIr
Method: DFT, meta-GGA SCAN
State: PBEsol geometry

Structure (POSCAR):
```
Li3HgIr
1.0
4.529 0.000 0.000
0.000 4.529 0.000
0.000 0.000 4.529
Li Hg Ir
3 1 1
Direct
0.000 0.000 0.500
0.000 0.500 0.000
0.500 0.000 0.000
0.000 0.000 0.000
0.500 0.500 0.500
```

Properties
ΔH_f (0 K): 0.7164 eV per atom
Total magnetization: 0.530 Bohr magnetons per cell

---

# 3
Material: Mg2SiTc
Method: DFT, meta-GGA SCAN
State: PBEsol geometry

Structure (POSCAR):
```
Mg2SiTc
1.0
3.415 0.000 0.000
0.000 4.107 0.000
0.000 0.000 4.325
Mg Si Tc
2 1 1
Direct
0.000 0.000 0.000
0.500 0.500 0.000
0.000 0.500 0.500
0.500 0.000 0.500
```

Properties
Uncorrected formation energy: 0.0871 eV per atom
Total magnetization: 0.000 Bohr magnetons per cell